# 1
! Sm6C2Br3Cl | the Alexandria database | PBE-GGA | optimized geometry; values from VASP
&SYSTEM
  ibrav = 0, nat = 12, ntyp = 4
/
ATOMIC_SPECIES
Sm 150.36 Sm.upf
C 12.01 C.upf
Br 79.90 Br.upf
Cl 35.45 Cl.upf
CELL_PARAMETERS angstrom
3.353 -5.814 0.000
3.353 5.814 0.000
-2.242 0.000 7.262
ATOMIC_POSITIONS angstrom
Sm -0.092 2.089 5.913
Sm 0.946 0.000 1.346
Sm -0.092 -2.089 5.913
Sm 4.555 2.089 1.349
Sm 3.518 0.000 5.916
Sm 4.555 -2.089 1.349
C 3.353 3.879 0.000
C 3.353 -3.879 0.000
Br -1.121 0.000 3.631
Br 2.232 1.922 3.631
Br 2.232 -1.922 3.631
Cl 3.353 0.000 0.000
! Density of states at the Fermi level   5.1 states/eV/cell
! Energy   -5.484 eV per atom
! Spin magnetization   0.0 μB per formula unit
! Mass density   7.05 g cm⁻³
! Formation energy (no corrections)   -1175.6 kJ/mol of formula units
! Symmetry   C2/m (12)


# 2
! Tc2CBrCl | the Alexandria database | PBE-GGA | optimized geometry; values from VASP
&SYSTEM
  ibrav = 0, nat = 5, ntyp = 4
/
ATOMIC_SPECIES
Tc 98.00 Tc.upf
C 12.01 C.upf
Br 79.90 Br.upf
Cl 35.45 Cl.upf
CELL_PARAMETERS angstrom
4.635 0.000 0.000
0.000 4.635 0.000
0.000 0.000 5.747
ATOMIC_POSITIONS angstrom
Tc 0.000 2.318 0.000
Tc 2.318 0.000 0.000
C 0.000 0.000 2.874
Br 2.318 2.318 0.000
Cl 2.318 2.318 2.874
! Density of states at the Fermi level   6.2 states/eV/cell
! Energy   -3.835 eV per atom
! Spin magnetization   5.0 μB per formula unit
! Mass density   4.35 g cm⁻³
! Formation energy (no corrections)   1379.7 kJ/mol of formula units
! Symmetry   P4/mmm (123)


# 3
! CoCBr2 | the Alexandria database | PBE-GGA | optimized geometry; values from VASP
&SYSTEM
  ibrav = 0, nat = 16, ntyp = 3
/
ATOMIC_SPECIES
Co 58.93 Co.upf
C 12.01 C.upf
Br 79.90 Br.upf
CELL_PARAMETERS angstrom
6.458 0.000 0.000
0.000 6.458 0.000
0.000 0.000 6.458
ATOMIC_POSITIONS angstrom
Co 0.000 0.000 0.000
Co 0.000 3.229 3.229
Co 3.229 0.000 3.229
Co 3.229 3.229 0.000
C 0.000 0.000 3.229
C 0.000 3.229 0.000
C 3.229 0.000 0.000
C 3.229 3.229 3.229
Br 1.614 1.614 1.614
Br 1.614 1.614 4.843
Br 1.614 4.843 1.614
Br 1.614 4.843 4.843
Br 4.843 1.614 1.614
Br 4.843 1.614 4.843
Br 4.843 4.843 1.614
Br 4.843 4.843 4.843
! Density of states at the Fermi level   19.3 states/eV/cell
! Energy   -3.070 eV per atom
! Spin magnetization   1.1 μB per formula unit
! Mass density   5.69 g cm⁻³
! Formation energy (no corrections)   713.5 kJ/mol of formula units
! Symmetry   Fm-3m (225)


Number 1 is which compound?
Sm6C2Br3Cl


Which formula does entry 2 have?
Tc2CBrCl